VASP calculation (PBE-GGA) on a relaxed structure of RbPmZnSe3.

a b c (Å): 9.498 4.240 10.093
angles (deg): 90.00 108.32 90.00
Element x y z (fractional)
Rb: 0.206 0.250 0.235
Rb: 0.794 0.750 0.765
Pm: 0.330 0.750 0.857
Pm: 0.670 0.250 0.143
Zn: 0.083 0.250 0.608
Zn: 0.917 0.750 0.392
Se: 0.112 0.250 0.857
Se: 0.192 0.750 0.534
Se: 0.463 0.750 0.159
Se: 0.537 0.250 0.841
Se: 0.808 0.250 0.466
Se: 0.888 0.750 0.143

Summary:
Space group ... P2_1/m (11)
E_tot ... -0.3151 Ry per atom
Mass density ... 4.59 g/cm³
Calculated volume ... 32.2 Å³ per atom


VASP calculation (PBE-GGA) on a relaxed structure of Rb4Pm3ZrSe8.

a b c (Å): 9.412 9.412 9.412
angles (deg): 53.67 53.67 53.67
Element x y z (fractional)
Rb: 0.000 0.000 0.000
Rb: 0.000 0.500 0.500
Rb: 0.500 0.000 0.500
Rb: 0.500 0.500 0.000
Pm: 0.000 0.000 0.500
Pm: 0.000 0.500 0.000
Pm: 0.500 0.000 0.000
Zr: 0.500 0.500 0.500
Se: 0.235 0.235 0.235
Se: 0.250 0.723 0.723
Se: 0.277 0.277 0.750
Se: 0.277 0.750 0.277
Se: 0.723 0.250 0.723
Se: 0.723 0.723 0.250
Se: 0.750 0.277 0.277
Se: 0.765 0.765 0.765

Summary:
Space group ... R-3m (166)
E_tot ... -0.3686 Ry per atom
Mass density ... 4.96 g/cm³
Calculated volume ... 31.4 Å³ per atom


VASP calculation (PBE-GGA) on a relaxed structure of Rb3Pm3ZrSe8.

a b c (Å): 9.522 9.522 9.522
angles (deg): 52.74 52.74 52.74
Element x y z (fractional)
Rb: 0.000 0.500 0.500
Rb: 0.500 0.000 0.500
Rb: 0.500 0.500 0.000
Pm: 0.000 0.000 0.500
Pm: 0.000 0.500 0.000
Pm: 0.500 0.000 0.000
Zr: 0.500 0.500 0.500
Se: 0.233 0.233 0.233
Se: 0.251 0.719 0.719
Se: 0.281 0.281 0.749
Se: 0.281 0.749 0.281
Se: 0.719 0.251 0.719
Se: 0.719 0.719 0.251
Se: 0.749 0.281 0.281
Se: 0.767 0.767 0.767

Summary:
Space group ... R-3m (166)
E_tot ... -0.3843 Ry per atom
Mass density ... 4.64 g/cm³
Calculated volume ... 33.8 Å³ per atom


VASP calculation (PBE-GGA) on a relaxed structure of Rb3Pm2ZrSe6.

a b c (Å): 7.294 7.294 8.404
angles (deg): 98.34 98.34 120.01
Element x y z (fractional)
Rb: 0.000 0.000 0.000
Rb: 0.329 0.671 0.000
Rb: 0.671 0.329 0.000
Pm: 0.166 0.834 0.500
Pm: 0.834 0.166 0.500
Zr: 0.500 0.500 0.500
Se: 0.119 0.434 0.302
Se: 0.252 0.252 0.699
Se: 0.434 0.119 0.302
Se: 0.566 0.881 0.698
Se: 0.748 0.748 0.301
Se: 0.881 0.566 0.698

Summary:
Space group ... C2/m (12)
E_tot ... -0.3714 Ry per atom
Mass density ... 4.98 g/cm³
Calculated volume ... 30.9 Å³ per atom


VASP calculation (PBE-GGA) on a relaxed structure of Rb2Pm2ZrSe6.

a b c (Å): 7.207 7.207 8.565
angles (deg): 98.43 98.43 119.49
Element x y z (fractional)
Rb: 0.171 0.829 0.000
Rb: 0.829 0.171 0.000
Pm: 0.333 0.667 0.500
Pm: 0.667 0.333 0.500
Zr: 0.000 0.000 0.500
Se: 0.067 0.379 0.693
Se: 0.244 0.244 0.308
Se: 0.379 0.067 0.693
Se: 0.621 0.933 0.307
Se: 0.756 0.756 0.692
Se: 0.933 0.621 0.307

Summary:
Space group ... C2/m (12)
E_tot ... -0.3930 Ry per atom
Mass density ... 4.60 g/cm³
Calculated volume ... 33.7 Å³ per atom


VASP calculation (PBE-GGA) on a relaxed structure of RbPm2Sm.

a b c (Å): 13.709 13.709 13.709
angles (deg): 15.52 15.52 15.52
Element x y z (fractional)
Rb: 0.000 0.000 0.000
Pm: 0.096 0.096 0.096
Pm: 0.904 0.904 0.904
Sm: 0.500 0.500 0.500

Summary:
Space group ... R-3m (166)
ΔH_f (0 K) ... 0.26 eV/atom
Mass density ... 5.43 g/cm³
Calculated volume ... 40.2 Å³ per atom